Entry 1:
Computed, not measured: a relaxed structure of Tb8Nd6Y at the PBE level of DFT.

a = 8.763 Å, b = 8.763 Å, c = 8.763 Å
α = 63.11°, β = 63.11°, γ = 63.11°
Sites, in units of the cell vectors:
Tb 0.077 0.077 0.077
Tb 0.218 0.248 0.612
Tb 0.248 0.612 0.218
Tb 0.388 0.782 0.752
Tb 0.612 0.218 0.248
Tb 0.752 0.388 0.782
Tb 0.782 0.752 0.388
Tb 0.923 0.923 0.923
Nd 0.038 0.731 0.602
Nd 0.269 0.398 0.962
Nd 0.398 0.962 0.269
Nd 0.602 0.038 0.731
Nd 0.731 0.602 0.038
Nd 0.962 0.269 0.398
Y 0.500 0.500 0.500

Total moment ... 0.00 μB/f.u.
Energy relative to the elements ... 119 meV per atom
VASP energy ... -70.33 eV for the cell shown

=====

Entry 2:
Computed, not measured: a relaxed structure of TbNd3Y3 at the PBE level of DFT.

a = 14.943 Å, b = 14.943 Å, c = 14.943 Å
α = 24.22°, β = 24.22°, γ = 24.22°
Sites, in units of the cell vectors:
Tb 0.167 0.167 0.167
Tb 0.833 0.833 0.833
Nd 0.038 0.700 0.369
Nd 0.300 0.631 0.962
Nd 0.369 0.038 0.700
Nd 0.631 0.962 0.300
Nd 0.700 0.369 0.038
Nd 0.962 0.300 0.631
Y 0.102 0.435 0.768
Y 0.232 0.898 0.565
Y 0.435 0.768 0.102
Y 0.565 0.232 0.898
Y 0.768 0.102 0.435
Y 0.898 0.565 0.232

Total moment ... 0.00 μB/f.u.
Energy relative to the elements ... 165 meV per atom
VASP energy ... -74.34 eV for the cell shown

=====

Entry 3:
Computed, not measured: a relaxed structure of TbNd6Y at the PBE level of DFT.

a = 5.166 Å, b = 5.166 Å, c = 10.331 Å
α = 90.00°, β = 90.00°, γ = 90.00°
Sites, in units of the cell vectors:
Tb 0.000 0.000 0.000
Nd 0.000 0.500 0.250
Nd 0.000 0.500 0.750
Nd 0.500 0.000 0.250
Nd 0.500 0.000 0.750
Nd 0.500 0.500 0.000
Nd 0.500 0.500 0.500
Y 0.000 0.000 0.500

Total moment ... 0.00 μB/f.u.
Energy relative to the elements ... 14 meV per atom
VASP energy ... -39.59 eV for the cell shown

=====

Entry 4:
Computed, not measured: a relaxed structure of Tb12Nd2Y7 at the PBE level of DFT.

a = 14.937 Å, b = 14.937 Å, c = 3.539 Å
α = 90.00°, β = 90.00°, γ = 120.00°
Sites, in units of the cell vectors:
Tb 0.052 0.257 0.000
Tb 0.125 0.715 0.500
Tb 0.205 0.948 0.000
Tb 0.285 0.410 0.500
Tb 0.416 0.148 0.500
Tb 0.494 0.394 0.000
Tb 0.590 0.875 0.500
Tb 0.606 0.100 0.000
Tb 0.733 0.584 0.500
Tb 0.743 0.795 0.000
Tb 0.852 0.267 0.500
Tb 0.900 0.506 0.000
Nd 0.000 0.000 0.500
Nd 0.333 0.667 0.000
Y 0.098 0.481 0.500
Y 0.232 0.185 0.000
Y 0.383 0.902 0.500
Y 0.519 0.617 0.500
Y 0.667 0.333 0.500
Y 0.815 0.047 0.000
Y 0.953 0.768 0.000

Total moment ... 0.01 μB/f.u.
Energy relative to the elements ... 40 meV per atom
VASP energy ... -109.50 eV for the cell shown

=====

Entry 5:
Computed, not measured: a relaxed structure of TbNd8Y3 at the PBE level of DFT.

a = 8.815 Å, b = 8.815 Å, c = 6.486 Å
α = 111.21°, β = 111.21°, γ = 83.89°
Sites, in units of the cell vectors:
Tb 0.000 0.000 0.000
Nd 0.096 0.403 0.337
Nd 0.199 0.702 0.202
Nd 0.298 0.801 0.798
Nd 0.401 0.098 0.333
Nd 0.597 0.904 0.663
Nd 0.703 0.198 0.202
Nd 0.802 0.297 0.798
Nd 0.902 0.599 0.667
Y 0.256 0.255 0.829
Y 0.500 0.500 0.500
Y 0.745 0.744 0.171

Total moment ... 0.00 μB/f.u.
Energy relative to the elements ... 297 meV per atom
VASP energy ... -58.60 eV for the cell shown

=====

Entry 6:
Computed, not measured: a relaxed structure of Tb5Nd2Y5 at the PBE level of DFT.

a = 8.014 Å, b = 8.014 Å, c = 11.338 Å
α = 115.10°, β = 115.10°, γ = 36.90°
Sites, in units of the cell vectors:
Tb 0.000 0.000 0.000
Tb 0.168 0.168 0.500
Tb 0.249 0.249 0.250
Tb 0.751 0.751 0.750
Tb 0.832 0.832 0.500
Nd 0.083 0.083 0.749
Nd 0.917 0.917 0.251
Y 0.334 0.334 0.000
Y 0.416 0.416 0.750
Y 0.500 0.500 0.500
Y 0.584 0.584 0.250
Y 0.666 0.666 0.000

Total moment ... 0.00 μB/f.u.
Energy relative to the elements ... 19 meV per atom
VASP energy ... -64.78 eV for the cell shown

=====

Entry 7:
Computed, not measured: a relaxed structure of Tb5Nd3Y at the PBE level of DFT.

a = 9.588 Å, b = 9.588 Å, c = 9.999 Å
α = 121.13°, β = 121.13°, γ = 73.46°
Sites, in units of the cell vectors:
Tb 0.093 0.595 0.251
Tb 0.221 0.221 0.226
Tb 0.244 0.756 0.000
Tb 0.277 0.277 0.960
Tb 0.405 0.907 0.749
Tb 0.595 0.093 0.251
Tb 0.723 0.723 0.040
Tb 0.756 0.244 0.000
Tb 0.779 0.779 0.774
Tb 0.907 0.405 0.749
Nd 0.000 0.000 0.500
Nd 0.008 0.008 0.812
Nd 0.480 0.480 0.642
Nd 0.500 0.500 0.000
Nd 0.520 0.520 0.358
Nd 0.992 0.992 0.188
Y 0.253 0.253 0.598
Y 0.747 0.747 0.402

Total moment ... 0.00 μB/f.u.
Energy relative to the elements ... 513 meV per atom
VASP energy ... -78.60 eV for the cell shown

=====

Entry 8:
Computed, not measured: a relaxed structure of Tb2Nd4Y at the PBE level of DFT.

a = 6.987 Å, b = 6.987 Å, c = 5.317 Å
α = 90.00°, β = 90.00°, γ = 103.61°
Sites, in units of the cell vectors:
Tb 0.206 0.794 0.000
Tb 0.794 0.206 0.000
Nd 0.000 0.500 0.500
Nd 0.299 0.299 0.000
Nd 0.500 0.000 0.500
Nd 0.701 0.701 0.000
Y 0.000 0.000 0.500

Total moment ... 0.00 μB/f.u.
Energy relative to the elements ... 198 meV per atom
VASP energy ... -33.41 eV for the cell shown

=====

Number 3 is which compound? TbNd6Y

=====

What did the eighth record say?
Computed, not measured: a relaxed structure of Tb2Nd4Y at the PBE level of DFT.

a = 6.987 Å, b = 6.987 Å, c = 5.317 Å
α = 90.00°, β = 90.00°, γ = 103.61°
Sites, in units of the cell vectors:
Tb 0.206 0.794 0.000
Tb 0.794 0.206 0.000
Nd 0.000 0.500 0.500
Nd 0.299 0.299 0.000
Nd 0.500 0.000 0.500
Nd 0.701 0.701 0.000
Y 0.000 0.000 0.500

Total moment ... 0.00 μB/f.u.
Energy relative to the elements ... 198 meV per atom
VASP energy ... -33.41 eV for the cell shown